*P*
Here is crystalline Tl3Sb2S4 at its relaxed geometry from Alexandria via LeMat-Bulk. Energies are from PBE-GGA.

```
18
Lattice="6.697 -5.933 0.000 6.697 5.933 0.000 -0.723 0.000 7.189" Properties=species:S:1:pos:R:3 pbc="T T T"
Tl 6.155 4.289 5.392
Tl 4.868 1.253 0.584
Tl 4.506 -1.253 4.179
Tl 8.165 1.253 3.010
Tl 7.803 -1.253 6.605
Tl 6.516 -4.289 1.797
Sb 1.797 1.739 4.711
Sb 2.158 -1.739 1.117
Sb 10.513 1.739 6.072
Sb 10.874 -1.739 2.478
S 1.324 0.704 6.951
S 4.202 1.762 4.725
S 1.685 -0.704 3.356
S 4.564 -1.762 1.131
S 8.107 1.762 6.058
S 10.986 0.704 3.833
S 8.469 -1.762 2.464
S 11.348 -0.704 0.238
```

- space group = C2/c (15)


*Q*
Here is crystalline Tl3Sb2S4 at its relaxed geometry from Alexandria via LeMat-Bulk. Energies are from PBE-GGA.

```
18
Lattice="7.530 -4.751 0.000 7.530 4.751 0.000 -0.988 0.000 8.698" Properties=species:S:1:pos:R:3 pbc="T T T"
Tl 6.789 4.373 6.523
Tl 4.971 0.838 5.740
Tl 5.465 -0.838 1.391
Tl 8.607 0.838 7.307
Tl 9.101 -0.838 2.958
Tl 7.283 -4.373 2.174
Sb 2.677 1.371 0.269
Sb 2.183 -1.371 4.618
Sb 11.890 1.371 4.080
Sb 11.396 -1.371 8.429
S 2.993 1.184 2.653
S 5.896 2.059 8.482
S 7.683 2.059 4.564
S 2.499 -1.184 7.002
S 11.573 1.184 1.696
S 6.390 -2.059 4.133
S 8.177 -2.059 0.215
S 11.079 -1.184 6.044
```

- space group = C2/c (15)


Stability verdict: *P*, ahead by 27 meV/atom


*P*
Here is crystalline TlSb2S2 at its relaxed geometry from Alexandria via LeMat-Bulk. Energies are from PBE-GGA.

```
10
Lattice="5.401 0.000 0.000 0.000 5.401 0.000 0.000 0.000 9.796" Properties=species:S:1:pos:R:3 pbc="T T T"
Tl 0.000 0.000 0.000
Tl 2.700 2.700 4.898
Sb 0.000 0.000 3.142
Sb 0.000 0.000 6.654
Sb 2.700 2.700 1.756
Sb 2.700 2.700 8.041
S 0.000 2.700 2.449
S 0.000 2.700 7.347
S 2.700 0.000 2.449
S 2.700 0.000 7.347
```

- space group = I4/mmm (139)


*Q*
Here is crystalline TlSb2S2 at its relaxed geometry from Alexandria via LeMat-Bulk. Energies are from PBE-GGA.

```
10
Lattice="8.884 0.000 0.000 0.000 8.884 0.000 0.000 0.000 3.674" Properties=species:S:1:pos:R:3 pbc="T T T"
Tl 0.000 0.000 0.000
Tl 4.442 4.442 0.000
Sb 1.925 2.517 1.837
Sb 2.517 6.959 1.837
Sb 6.366 1.925 1.837
Sb 6.959 6.366 1.837
S 1.297 5.738 0.000
S 3.145 1.297 0.000
S 5.738 7.587 0.000
S 7.587 3.145 0.000
```

- space group = P4/mbm (127)


Stability verdict: *P*, ahead by 29 meV/atom


*P*
Here is crystalline Tl3SbS at its relaxed geometry from Alexandria via LeMat-Bulk. Energies are from PBE-GGA.

```
5
Lattice="5.536 0.000 0.000 0.000 5.536 0.000 0.000 0.000 5.536" Properties=species:S:1:pos:R:3 pbc="T T T"
Tl 0.000 0.000 2.768
Tl 0.000 2.768 0.000
Tl 2.768 0.000 0.000
Sb 2.768 2.768 2.768
S 0.000 0.000 0.000
```

- space group = Pm-3m (221)


*Q*
Here is crystalline Tl3SbS at its relaxed geometry from Alexandria via LeMat-Bulk. Energies are from PBE-GGA.

```
5
Lattice="5.835 0.000 0.000 0.000 5.835 0.000 0.000 0.000 5.835" Properties=species:S:1:pos:R:3 pbc="T T T"
Tl 0.000 0.000 2.918
Tl 0.000 2.918 0.000
Tl 2.918 0.000 0.000
Sb 0.000 0.000 0.000
S 2.918 2.918 2.918
```

- space group = Pm-3m (221)


Stability verdict: *P*, ahead by 193 meV/atom


*P*
Here is crystalline Tl2Sb2S5 at its relaxed geometry from Alexandria via LeMat-Bulk. Energies are from PBE-GGA.

```
9
Lattice="6.938 -2.770 0.000 6.938 2.770 0.000 -2.527 0.000 6.933" Properties=species:S:1:pos:R:3 pbc="T T T"
Tl 0.688 0.000 2.260
Tl 10.661 0.000 4.672
Sb 4.523 0.000 0.917
Sb 6.826 0.000 6.016
S 0.008 0.000 6.375
S 3.694 0.000 3.119
S 6.938 0.000 0.000
S 7.655 0.000 3.813
S 11.341 0.000 0.557
```

- space group = C2/m (12)


*Q*
Here is crystalline Tl2Sb2S5 at its relaxed geometry from Alexandria via LeMat-Bulk. Energies are from PBE-GGA.

```
9
Lattice="5.662 0.000 0.000 -2.436 6.105 0.000 -0.207 -3.077 7.933" Properties=species:S:1:pos:R:3 pbc="T T T"
Tl -0.381 0.362 2.114
Tl 3.399 2.666 5.819
Sb 0.110 3.844 1.143
Sb 2.909 -0.815 6.790
S -0.335 -0.548 6.602
S 0.384 3.754 4.610
S 2.831 0.000 0.000
S 2.635 -0.725 3.324
S 3.354 3.576 1.331
```

- space group = P-1 (2)


Stability verdict: *Q*, ahead by 21 meV/atom


*P*
Here is crystalline TlSb2S at its relaxed geometry from Alexandria via LeMat-Bulk. Energies are from PBE-GGA.

```
16
Lattice="7.354 0.000 0.000 0.000 7.354 0.000 0.000 0.000 7.354" Properties=species:S:1:pos:R:3 pbc="T T T"
Tl 0.000 0.000 0.000
Tl 0.000 3.677 3.677
Tl 3.677 0.000 3.677
Tl 3.677 3.677 0.000
Sb 1.838 1.838 1.838
Sb 1.838 1.838 5.515
Sb 1.838 5.515 1.838
Sb 1.838 5.515 5.515
Sb 5.515 1.838 1.838
Sb 5.515 1.838 5.515
Sb 5.515 5.515 1.838
Sb 5.515 5.515 5.515
S 0.000 0.000 3.677
S 0.000 3.677 0.000
S 3.677 0.000 0.000
S 3.677 3.677 3.677
```

- space group = Fm-3m (225)


*Q*
Here is crystalline TlSb2S at its relaxed geometry from Alexandria via LeMat-Bulk. Energies are from PBE-GGA.

```
16
Lattice="5.202 0.000 0.000 0.000 5.202 0.000 0.000 0.000 19.116" Properties=species:S:1:pos:R:3 pbc="T T T"
Tl 0.000 0.000 0.000
Tl 0.000 2.601 4.779
Tl 2.601 0.000 14.337
Tl 2.601 2.601 9.558
Sb 0.715 1.300 11.947
Sb 1.300 3.316 16.726
Sb 1.300 4.487 7.168
Sb 1.886 1.300 2.389
Sb 3.316 3.901 2.389
Sb 3.901 0.715 7.168
Sb 3.901 1.886 16.726
Sb 4.487 3.901 11.947
S 0.000 0.000 9.558
S 0.000 2.601 14.337
S 2.601 0.000 4.779
S 2.601 2.601 0.000
```

- space group = I-42d (122)


Stability verdict: *Q*, ahead by 244 meV/atom


*P*
Here is crystalline TlSb2S4 at its relaxed geometry from Alexandria via LeMat-Bulk. Energies are from PBE-GGA.

```
14
Lattice="1.995 -6.473 0.000 1.995 6.473 0.000 0.000 0.000 13.757" Properties=species:S:1:pos:R:3 pbc="T T T"
Tl 1.995 5.310 10.318
Tl 1.995 -5.310 3.439
Sb 1.995 1.776 7.805
Sb 1.995 1.776 12.831
Sb 1.995 -1.776 0.926
Sb 1.995 -1.776 5.952
S 0.000 0.000 0.000
S 0.000 0.000 6.879
S 1.995 3.034 1.470
S 1.995 3.034 5.409
S 1.995 1.074 10.318
S 1.995 -1.074 3.439
S 1.995 -3.034 8.349
S 1.995 -3.034 12.287
```

- space group = Cmcm (63)


*Q*
Here is crystalline TlSb2S4 at its relaxed geometry from Alexandria via LeMat-Bulk. Energies are from PBE-GGA.

```
14
Lattice="5.928 -5.449 0.000 5.928 5.449 0.000 -4.630 0.000 6.384" Properties=species:S:1:pos:R:3 pbc="T T T"
Tl 0.000 0.000 0.000
Tl 3.613 -3.936 3.192
Sb 4.706 1.669 1.389
Sb 2.520 1.669 4.995
Sb 0.035 -1.589 5.064
Sb 7.191 -1.589 1.319
S 4.381 4.191 1.616
S 1.533 1.387 1.625
S 2.844 4.191 4.768
S -0.009 1.659 5.278
S 7.235 1.659 1.106
S 4.596 -1.508 1.172
S 5.693 1.387 4.759
S 2.630 -1.508 5.212
```

- space group = C2 (5)


Stability verdict: *Q*, ahead by 20 meV/atom


*P*
Here is crystalline TlSbS4 at its relaxed geometry from Alexandria via LeMat-Bulk. Energies are from PBE-GGA.

```
12
Lattice="3.653 -8.384 0.000 3.653 8.384 0.000 -0.425 0.000 6.700" Properties=species:S:1:pos:R:3 pbc="T T T"
Tl 3.335 7.002 5.025
Tl 3.547 -7.002 1.675
Sb 3.547 0.818 1.675
Sb 3.335 -0.818 5.025
S 2.688 4.726 2.095
S 1.685 0.710 6.021
S 1.897 -0.710 2.671
S 4.406 4.726 1.255
S 2.476 -4.726 5.445
S 4.985 0.710 4.029
S 5.197 -0.710 0.679
S 4.194 -4.726 4.605
```

- space group = C2/c (15)


*Q*
Here is crystalline TlSbS4 at its relaxed geometry from Alexandria via LeMat-Bulk. Energies are from PBE-GGA.

```
12
Lattice="7.471 0.000 0.000 0.000 8.672 0.000 -2.237 0.000 6.161" Properties=species:S:1:pos:R:3 pbc="T T T"
Tl -0.559 1.444 1.540
Tl -1.678 7.228 4.621
Sb 2.057 0.926 4.621
Sb 3.176 7.747 1.540
S -0.201 4.213 3.344
S 0.917 4.459 0.263
S 2.091 0.685 0.040
S 0.973 7.988 3.120
S 4.261 0.685 3.041
S 3.142 7.988 6.122
S 4.316 4.213 5.898
S 5.435 4.459 2.817
```

- space group = P2/c (13)


Stability verdict: *Q*, ahead by 61 meV/atom


*P*
Here is crystalline Tm3SbS6 at its relaxed geometry from Alexandria via LeMat-Bulk. Energies are from PBE-GGA.

```
20
Lattice="5.237 -6.614 0.000 5.237 6.614 0.000 0.000 0.000 6.741" Properties=species:S:1:pos:R:3 pbc="T T T"
Tm 5.237 5.359 3.371
Tm 3.289 1.340 2.752
Tm 3.289 -1.340 6.123
Tm 7.184 1.340 2.752
Tm 7.184 -1.340 6.123
Tm 5.237 -5.359 0.000
Sb 5.237 2.363 5.990
Sb 5.237 -2.363 2.620
S 3.467 3.554 4.628
S 1.735 0.401 4.779
S 1.735 -0.401 1.408
S 5.237 3.048 1.841
S 7.006 3.554 4.628
S 5.237 0.149 4.282
S 5.237 -0.149 0.912
S 3.467 -3.554 1.258
S 5.237 -3.048 5.211
S 8.738 0.401 4.779
S 8.738 -0.401 1.408
S 7.006 -3.554 1.258
```

- space group = Cmc2_1 (36)


*Q*
Here is crystalline Tm3SbS6 at its relaxed geometry from Alexandria via LeMat-Bulk. Energies are from PBE-GGA.

```
20
Lattice="11.133 0.000 0.000 0.000 3.952 0.000 -3.715 0.000 10.583" Properties=species:S:1:pos:R:3 pbc="T T T"
Tm 0.160 0.988 1.759
Tm 0.020 2.964 5.210
Tm 0.353 0.988 9.759
Tm 7.065 2.964 0.823
Tm 7.398 0.988 5.373
Tm 7.258 2.964 8.823
Sb 4.267 0.988 3.336
Sb 3.151 2.964 7.247
S -1.262 0.988 4.053
S -2.314 0.988 9.918
S 1.517 2.964 2.952
S 0.607 2.964 7.886
S 2.317 0.988 5.641
S 4.361 2.964 0.973
S 3.057 0.988 9.610
S 5.101 2.964 4.941
S 6.811 0.988 2.696
S 5.901 0.988 7.631
S 9.732 2.964 0.665
S 8.680 2.964 6.530
```

- space group = P2_1/m (11)


Stability verdict: *Q*, ahead by 35 meV/atom


*P*
Here is crystalline Tm5Sb4S at its relaxed geometry from Alexandria via LeMat-Bulk. Energies are from PBE-GGA.

```
10
Lattice="-2.132 2.132 14.966 2.132 -2.132 14.966 2.132 2.132 -14.966" Properties=species:S:1:pos:R:3 pbc="T T T"
Tm 0.000 0.000 0.000
Tm 0.000 0.000 6.023
Tm 0.000 0.000 12.208
Tm 0.000 0.000 17.724
Tm 0.000 0.000 23.909
Sb 0.000 0.000 2.953
Sb 0.000 0.000 9.086
Sb 0.000 0.000 20.846
Sb 0.000 0.000 26.978
S 0.000 0.000 14.966
```

- space group = I4/mmm (139)


*Q*
Here is crystalline Tm5Sb4S at its relaxed geometry from Alexandria via LeMat-Bulk. Energies are from PBE-GGA.

```
10
Lattice="-4.740 4.740 3.020 4.740 -4.740 3.020 4.740 4.740 -3.020" Properties=species:S:1:pos:R:3 pbc="T T T"
Tm 0.000 0.000 0.000
Tm 5.678 2.034 0.009
Tm 2.034 3.801 0.009
Tm 2.706 0.938 3.029
Tm -0.938 2.706 3.029
Sb 2.863 0.894 0.009
Sb 3.846 -1.876 3.029
Sb 0.894 6.616 0.009
Sb 1.876 3.846 3.029
S 0.000 0.000 3.032
```

- space group = I4 (79)


Stability verdict: *Q*, ahead by 17 meV/atom


*P*
Here is crystalline Tm3SbS at its relaxed geometry from Alexandria via LeMat-Bulk. Energies are from PBE-GGA.

```
20
Lattice="8.595 0.000 0.000 0.000 4.001 0.000 0.000 0.000 14.219" Properties=species:S:1:pos:R:3 pbc="T T T"
Tm 0.236 1.000 1.596
Tm 1.404 1.000 7.341
Tm 1.795 3.000 3.963
Tm 2.502 1.000 11.073
Tm 2.893 3.000 0.231
Tm 4.061 3.000 8.706
Tm 4.534 1.000 5.513
Tm 5.702 1.000 13.988
Tm 6.093 3.000 3.146
Tm 6.800 1.000 10.256
Tm 7.191 3.000 6.878
Tm 8.359 3.000 12.623
Sb 0.526 3.000 9.568
Sb 3.771 1.000 2.458
Sb 4.823 3.000 11.761
Sb 8.069 1.000 4.651
S 1.390 1.000 13.446
S 2.907 3.000 6.336
S 5.688 1.000 7.883
S 7.205 3.000 0.773
```

- space group = Pnma (62)


*Q*
Here is crystalline Tm3SbS at its relaxed geometry from Alexandria via LeMat-Bulk. Energies are from PBE-GGA.

```
20
Lattice="8.764 0.000 0.000 0.000 6.441 0.000 -3.905 0.000 9.161" Properties=species:S:1:pos:R:3 pbc="T T T"
Tm -0.933 0.648 3.062
Tm -2.885 2.573 7.642
Tm -0.352 3.668 4.892
Tm 1.601 5.994 0.312
Tm 0.259 1.151 7.523
Tm 2.212 2.069 2.943
Tm 2.648 4.372 6.218
Tm 4.600 5.290 1.638
Tm 3.259 0.447 8.849
Tm 5.211 2.773 4.269
Tm 7.744 3.868 1.519
Tm 5.792 5.793 6.099
Sb -0.235 4.456 7.783
Sb 1.717 5.205 3.202
Sb 3.142 1.236 5.959
Sb 5.094 1.985 1.378
S -1.581 1.479 5.522
S 0.372 1.742 0.942
S 4.488 4.699 8.219
S 6.440 4.962 3.639
```

- space group = P2_1/c (14)


Stability verdict: *P*, ahead by 153 meV/atom